1.
A plane-wave DFT calculation with PBE-GGA was carried out for a relaxed Pm2Ho3Tm6 crystal.

Calculated values
- DFT total energy: -47.03 eV for the cell shown
- E above lowest polymorph: 86 meV per atom
- ΔE_f: 26.6 kJ per mole of atoms
- Theoretical density: 8.3 g/cm³

Lattice parameters (Å, degrees): 4.693 4.693 16.761 98.05 98.05 90.00
Element x y z (fractional)
Pm 0.454 0.454 0.907
Pm 0.546 0.546 0.093
Ho 0.000 0.000 0.000
Ho 0.798 0.798 0.596
Ho 0.202 0.202 0.404
Tm 0.122 0.622 0.244
Tm 0.622 0.122 0.244
Tm 0.878 0.378 0.756
Tm 0.378 0.878 0.756
Tm 0.695 0.695 0.389
Tm 0.305 0.305 0.611

2.
A plane-wave DFT calculation with PBE-GGA was carried out for a relaxed Ca2TlBPd6 crystal.

Calculated values
- DFT total energy: -49.24 eV for the cell shown
- ΔE_f: -48.6 kJ per mole of atoms
- Theoretical density: 7.8 g/cm³

Lattice parameters (Å, degrees): 5.822 7.595 5.825 66.95 60.02 89.98
Element x y z (fractional)
Ca 0.737 0.217 0.527
Ca 0.263 0.783 0.473
Tl 0.000 0.000 0.000
B 0.500 0.500 0.000
Pd 0.270 0.335 0.461
Pd 0.732 0.671 0.053
Pd 0.214 0.671 0.054
Pd 0.786 0.329 0.946
Pd 0.268 0.329 0.947
Pd 0.730 0.665 0.539

3.
A plane-wave DFT calculation with PBE-GGA was carried out for a relaxed NdDy2Y8 crystal.

Calculated values
- DFT total energy: -64.08 eV for the cell shown
- E above lowest polymorph: 0 meV per atom
- ΔE_f: 14.1 kJ per mole of atoms
- Theoretical density: 5.2 g/cm³

Lattice parameters (Å, degrees): 5.574 10.213 10.213 40.03 92.76 92.76
Element x y z (fractional)
Nd 0.000 0.000 0.000
Dy 0.751 0.284 0.284
Dy 0.249 0.716 0.716
Y 0.269 0.133 0.601
Y 0.269 0.601 0.133
Y 0.731 0.867 0.399
Y 0.237 0.547 0.547
Y 0.731 0.399 0.867
Y 0.234 0.188 0.188
Y 0.766 0.812 0.812
Y 0.763 0.453 0.453

4.
A plane-wave DFT calculation with PBE-GGA was carried out for a relaxed Dy3PHPb crystal.

Calculated values
- DFT total energy: -63.09 eV for the cell shown
- Theoretical density: 8.4 g/cm³

Lattice parameters (Å, degrees): 4.061 8.342 8.643 101.10 90.00 90.00
Element x y z (fractional)
Dy 0.250 0.825 0.460
Dy 0.750 0.878 0.129
Dy 0.750 0.437 0.171
Dy 0.750 0.175 0.540
Dy 0.250 0.563 0.829
Dy 0.250 0.122 0.871
P 0.250 0.658 0.152
P 0.750 0.342 0.848
H 0.250 0.085 0.599
H 0.750 0.915 0.401
Pb 0.750 0.828 0.747
Pb 0.250 0.172 0.253

5.
A plane-wave DFT calculation with PBE-GGA was carried out for a relaxed Pr5AgAu2 crystal.

Calculated values
- DFT total energy: -73.29 eV for the cell shown
- ΔE_f: -40.3 kJ per mole of atoms
- Theoretical density: 8.6 g/cm³

Lattice parameters (Å, degrees): 8.462 8.462 8.863 118.52 118.52 90.00
Element x y z (fractional)
Pr 0.513 0.695 0.708
Pr 0.805 0.987 0.292
Pr 0.000 0.000 0.000
Pr 0.500 0.500 0.000
Pr 0.195 0.013 0.708
Pr 0.695 0.195 0.708
Pr 0.013 0.513 0.708
Pr 0.305 0.805 0.292
Pr 0.987 0.487 0.292
Pr 0.487 0.305 0.292
Ag 0.750 0.750 0.500
Ag 0.250 0.250 0.500
Au 0.131 0.369 0.000
Au 0.631 0.131 0.000
Au 0.369 0.869 0.000
Au 0.869 0.631 0.000

6.
A plane-wave DFT calculation with PBE-GGA was carried out for a relaxed InRhSe2N crystal.

Calculated values
- DFT total energy: -24.22 eV for the cell shown
- E above lowest polymorph: 0 meV per atom
- Theoretical density: 6.5 g/cm³

Lattice parameters (Å, degrees): 5.219 5.219 3.669 90.00 90.00 90.00
Element x y z (fractional)
N 0.000 0.000 0.500
Rh 0.000 0.000 0.000
Se 0.000 0.500 0.000
Se 0.500 0.000 0.000
In 0.500 0.500 0.500

7.
A plane-wave DFT calculation with PBE-GGA was carried out for a relaxed Zr2CdAu crystal.

Calculated values
- DFT total energy: -21.86 eV for the cell shown
- ΔE_f: -13.8 kJ per mole of atoms
- Theoretical density: 9.2 g/cm³

Lattice parameters (Å, degrees): 9.561 9.561 9.561 19.95 19.95 19.95
Element x y z (fractional)
Au 0.502 0.502 0.502
Cd 0.754 0.754 0.754
Zr 0.998 0.998 0.998
Zr 0.246 0.246 0.246

8.
A plane-wave DFT calculation with PBE-GGA was carried out for a relaxed Pa2SbPd2 crystal.

Calculated values
- DFT total energy: -72.78 eV for the cell shown
- Theoretical density: 11.8 g/cm³

Lattice parameters (Å, degrees): 3.976 7.494 7.494 90.00 90.00 90.00
Element x y z (fractional)
Pa 0.000 0.673 0.327
Pa 0.000 0.827 0.827
Pa 0.000 0.173 0.173
Pa 0.000 0.327 0.673
Sb 0.500 0.500 0.000
Sb 0.500 0.000 0.500
Pd 0.500 0.370 0.370
Pd 0.500 0.870 0.130
Pd 0.500 0.130 0.870
Pd 0.500 0.630 0.630

DFT total energy of number 8 (Pa2SbPd2)? -72.78 eV for the cell shown